1.
NdInSn2Cl8 GGA-PBE optimized geometry; ΔE_f (raw) = -1.384 eV per atom
1.0
6.912 0.052 -0.184
0.104 6.526 -0.143
-0.222 -0.172 9.072
Cl Nd In Sn
8 1 1 2
Cartesian
4.563 4.751 8.530
1.165 4.978 6.924
5.629 1.428 1.822
1.035 4.864 1.853
2.387 1.789 4.024
5.759 1.542 6.893
4.407 4.617 4.721
2.232 1.655 0.215
0.000 0.000 0.000
-0.111 -0.086 4.536
3.407 3.178 6.603
3.388 3.227 2.142

=====

2.
PmSm3Ru GGA-PBE optimized geometry; DFT formation energy = -3.848 kcal/mol of atoms; E above lowest polymorph = 0.0000 eV/atom
1.0
6.860 -0.123 -2.822
-3.441 6.133 -2.361
0.142 0.093 7.405
Pm Sm Ru
2 6 2
Cartesian
-1.216 5.805 -1.274
4.776 0.299 3.496
0.247 3.422 4.131
-2.107 5.868 2.543
3.313 2.681 -1.909
0.170 2.754 0.434
5.667 0.235 -0.321
3.390 3.349 1.788
1.783 1.548 2.971
1.777 4.555 -0.749

=====

3.
NbAlNi GGA-PBE optimized geometry; DFT formation energy = -10.021 kcal/mol of atoms
1.0
2.854 0.000 0.000
0.000 2.854 0.000
-1.427 -1.427 5.288
Al Ni Nb
1 1 1
Cartesian
0.000 0.000 3.327
1.427 1.427 1.912
0.000 0.000 0.049

=====

4.
ScRePt2 GGA-PBE optimized geometry; DFT formation energy = -8.580 kcal/mol of atoms
1.0
-2.227 -1.053 -1.400
0.656 -2.600 0.914
-4.679 1.134 6.588
Pt Re Sc
2 1 1
Cartesian
-2.009 -1.530 1.480
-4.678 1.134 6.587
-2.264 0.549 3.187
-4.317 -0.971 4.729

=====

5.
ScSbRh2 GGA-PBE optimized geometry; ΔE_f (raw) = -0.411 eV per atom
1.0
4.616 0.000 0.000
2.308 3.998 0.000
2.308 1.333 3.769
Sc Rh Sb
1 2 1
Cartesian
6.924 3.998 2.827
2.308 1.333 0.942
0.000 0.000 0.000
4.616 2.665 1.885

=====

6.
GdCuSnPd GGA-PBE optimized geometry; DFT formation energy = -13.989 kcal/mol of atoms
1.0
4.791 0.000 0.000
2.396 4.149 0.000
2.396 1.383 3.912
Gd Pd Cu Sn
1 1 1 1
Cartesian
0.000 0.000 0.000
7.187 4.149 2.934
2.396 1.383 0.978
4.791 2.766 1.956

=====

7.
Pu2AlSi3Pd4 GGA-PBE optimized geometry; ΔE_f (raw) = -0.699 eV per atom
1.0
-0.275 -1.165 -3.999
-0.146 -4.003 1.176
-10.222 0.534 0.548
Si Al Pu Pd
3 1 2 4
Cartesian
-1.428 -1.931 0.661
-5.111 0.267 0.274
-9.005 -0.119 -1.524
-5.322 -2.316 -1.138
-2.681 -0.449 -1.863
-7.751 -1.600 1.000
0.000 0.000 0.000
-3.828 -1.805 0.789
-6.604 -0.244 -1.653
-0.211 -2.584 -1.412

=====

8.
MgAuBr2 GGA-PBE optimized geometry; ΔE_f (raw) = -0.202 eV per atom; E above lowest polymorph = 0.4231 eV/atom
1.0
0.484 -4.497 -2.291
-4.128 -2.576 -1.426
-1.120 -0.471 -4.923
Mg Br Au
1 2 1
Cartesian
0.000 0.000 0.000
-1.191 -1.886 -2.160
-3.573 -5.658 -6.480
-2.382 -3.772 -4.320

=====

no.,calculated total energy (eV for the cell shown),DOS(E_F) (states/eV/cell)
1,-46.9,0.00
2,-58.0,9.54
3,-20.9,1.42
4,-32.3,2.97
5,-26.8,5.53
6,-29.8,2.22
7,-76.4,26.28
8,-9.0,1.86